Sr4CrAs | Alexandria | PBE | optimized geometry; spin magnetization = 4.2 μB/cell; E_tot = -2.7850 eV per atom; formation energy from the elements = 0.71 eV per atom
1.0
-1.833 4.806 4.682
-4.875 4.705 -1.572
-6.247 -0.314 3.043
Sr Cr As
4 1 1
direct
0.873 0.376 0.376
0.376 0.376 0.873
0.376 0.873 0.376
0.376 0.376 0.376
0.000 0.000 0.000
0.750 0.750 0.750